(1)
The following is a DFT calculation (PBE) of an optimized crystal structure of AcPa2SiN5.

```
AcPa2SiN5
1.0
6.6769 0.0000 0.0000
0.0000 6.6769 0.0000
0.0000 0.0000 5.5849
Ac Pa Si N
2 4 2 10
Cartesian
0.0000 0.0000 0.0000
3.3385 3.3385 0.0000
1.1923 2.1461 2.7924
2.1461 5.4846 2.7924
4.5308 1.1923 2.7924
5.4846 4.5308 2.7924
0.0000 3.3385 0.0000
3.3385 0.0000 0.0000
0.0000 0.0000 2.7924
0.9152 4.2537 1.3383
0.9152 4.2537 4.2465
2.4232 0.9152 1.3383
2.4232 0.9152 4.2465
3.3385 3.3385 2.7924
4.2537 5.7617 1.3383
4.2537 5.7617 4.2465
5.7617 2.4232 1.3383
5.7617 2.4232 4.2465
```

Calculated values
formation energy (no corrections)	-1299	meV per atom
raw total energy	-9.093	eV per atom
symmetry	P4/mbm
total moment	0.000	μB per cell



(2)
The following is a DFT calculation (PBE) of an optimized crystal structure of MnCr2P.

```
MnCr2P
1.0
-1.7021 1.7021 3.8585
1.7021 -1.7021 3.8585
1.7021 1.7021 -3.8585
Mn Cr P
1 2 1
Cartesian
0.0000 0.0000 0.0000
1.7021 0.0000 1.9292
0.0000 1.7021 1.9292
0.0000 0.0000 3.8585
```

Calculated values
ΔE_f	-0.190	eV per atom
raw total energy	-8.647	eV per atom
symmetry	I4/mmm
total moment	1.058	μB per cell



(3)
The following is a DFT calculation (PBE) of an optimized crystal structure of LiTbNp2Te5.

```
LiTbNp2Te5
1.0
2.1725 -9.2668 0.0000
2.1725 9.2668 0.0000
0.0000 0.0000 13.0898
Li Tb Np Te
2 2 4 10
Cartesian
2.1725 8.1700 6.5449
2.1725 -8.1700 0.0000
2.1725 3.6904 0.6528
2.1725 -3.6904 7.1978
2.1725 2.2947 4.5130
2.1725 2.0068 9.4484
2.1725 -2.0068 2.9035
2.1725 -2.2947 11.0579
2.1725 9.2438 10.7004
2.1725 6.7643 0.5251
2.1725 5.7656 5.0151
2.1725 5.2938 9.3412
2.1725 0.8500 1.4707
2.1725 -0.8500 8.0157
2.1725 -5.2938 2.7963
2.1725 -5.7656 11.5600
2.1725 -6.7643 7.0700
2.1725 -9.2438 4.1555
```

Calculated values
formation energy (no corrections)	-868	meV per atom
raw total energy	-6.216	eV per atom
symmetry	Cmc2_1
total moment	15.996	μB per cell